Sc2TiPBr: optimized geometry, GGA-PBE.

Results
E (eV/atom): -5.83
Symmetry: No. 123
Total magnetization (μB/f.u.): 3.06
DOS(E_F) (states/eV/f.u.): 6.00
Uncorrected formation energy (eV per atom): -0.300

POSCAR file:
```
Sc2TiPBr
1.0
5.030 0.000 0.000
0.000 5.030 0.000
0.000 0.000 4.654
Sc Ti P Br
2 1 1 1
direct
0.000 0.500 0.000
0.500 0.000 0.000
0.000 0.000 0.500
0.000 0.000 0.000
0.500 0.500 0.500
```